[1]
! PaV2Re, optimized geometry, DFT PBE; values from VASP
! Calculated total energy   -39.746 eV per cell
! DFT formation energy   109 meV/atom
! Space-group type   P4/mmm (123)
&SYSTEM
  ibrav = 0, nat = 4, ntyp = 3
/
ATOMIC_SPECIES
Pa 231.04 Pa.upf
V 50.94 V.upf
Re 186.21 Re.upf
CELL_PARAMETERS angstrom
3.1813 0.0000 0.0000
0.0000 3.1813 0.0000
0.0000 0.0000 6.4763
ATOMIC_POSITIONS crystal
Pa 0.0000 0.0000 0.0000
V 0.5000 0.5000 0.2696
V 0.5000 0.5000 0.7304
Re 0.0000 0.0000 0.5000

=====

[2]
! Pa2VRe, optimized geometry, DFT PBE; values from VASP
! Calculated total energy   -38.627 eV per cell
! DFT formation energy   483 meV/atom
! Space-group type   R-3m (166)
&SYSTEM
  ibrav = 0, nat = 4, ntyp = 3
/
ATOMIC_SPECIES
Pa 231.04 Pa.upf
V 50.94 V.upf
Re 186.21 Re.upf
CELL_PARAMETERS angstrom
1.5130 0.8736 9.9802
-1.5130 0.8736 9.9802
0.0000 -1.7471 9.9802
ATOMIC_POSITIONS crystal
Pa 0.0876 0.0876 0.0876
Pa 0.9124 0.9124 0.9124
V 0.0000 0.0000 0.0000
Re 0.5000 0.5000 0.5000

=====

[3]
! PaV2Re, optimized geometry, DFT PBE; values from VASP
! Calculated total energy   -40.279 eV per cell
! DFT formation energy   -25 meV/atom
! Space-group type   Fm-3m (225)
&SYSTEM
  ibrav = 0, nat = 4, ntyp = 3
/
ATOMIC_SPECIES
Pa 231.04 Pa.upf
V 50.94 V.upf
Re 186.21 Re.upf
CELL_PARAMETERS angstrom
0.0000 3.1815 3.1815
3.1815 0.0000 3.1815
3.1815 3.1815 0.0000
ATOMIC_POSITIONS crystal
Pa 0.0000 0.0000 0.0000
V 0.2500 0.2500 0.2500
V 0.7500 0.7500 0.7500
Re 0.5000 0.5000 0.5000

=====

[4]
! PaV2Re, optimized geometry, DFT PBE; values from VASP
! Calculated total energy   -39.665 eV per cell
! DFT formation energy   129 meV/atom
! Space-group type   P4/mmm (123)
&SYSTEM
  ibrav = 0, nat = 4, ntyp = 3
/
ATOMIC_SPECIES
Pa 231.04 Pa.upf
V 50.94 V.upf
Re 186.21 Re.upf
CELL_PARAMETERS angstrom
4.5440 0.0000 0.0000
0.0000 4.5440 0.0000
0.0000 0.0000 3.1554
ATOMIC_POSITIONS crystal
Pa 0.0000 0.0000 0.0000
V 0.0000 0.5000 0.5000
V 0.5000 0.0000 0.5000
Re 0.5000 0.5000 0.0000

=====

[5]
! Pa2VRe, optimized geometry, DFT PBE; values from VASP
! Calculated total energy   -39.762 eV per cell
! DFT formation energy   199 meV/atom
! Space-group type   Fm-3m (225)
&SYSTEM
  ibrav = 0, nat = 4, ntyp = 3
/
ATOMIC_SPECIES
Pa 231.04 Pa.upf
V 50.94 V.upf
Re 186.21 Re.upf
CELL_PARAMETERS angstrom
0.0000 3.4471 3.4471
3.4471 0.0000 3.4471
3.4471 3.4471 0.0000
ATOMIC_POSITIONS crystal
Pa 0.2500 0.2500 0.2500
Pa 0.7500 0.7500 0.7500
V 0.0000 0.0000 0.0000
Re 0.5000 0.5000 0.5000

=====

[6]
! Pa2ReW3, optimized geometry, DFT PBE; values from VASP
! Calculated total energy   -69.929 eV per cell
! DFT formation energy   62 meV/atom
! Space-group type   C2/m (12)
&SYSTEM
  ibrav = 0, nat = 6, ntyp = 3
/
ATOMIC_SPECIES
Pa 231.04 Pa.upf
Re 186.21 Re.upf
W 183.84 W.upf
CELL_PARAMETERS angstrom
4.6327 -2.7904 0.0000
4.6327 2.7904 0.0000
-2.9775 0.0000 4.5458
ATOMIC_POSITIONS crystal
Pa 0.1234 0.1234 0.3772
Pa 0.8766 0.8766 0.6228
Re 0.5000 0.5000 0.0000
W 0.0000 0.5000 0.0000
W 0.5000 0.0000 0.0000
W 0.5000 0.5000 0.5000

=====

[7]
! PaReW, optimized geometry, DFT PBE; values from VASP
! Calculated total energy   -31.702 eV per cell
! DFT formation energy   1065 meV/atom
! Space-group type   I4mm (107)
&SYSTEM
  ibrav = 0, nat = 3, ntyp = 3
/
ATOMIC_SPECIES
Pa 231.04 Pa.upf
Re 186.21 Re.upf
W 183.84 W.upf
CELL_PARAMETERS angstrom
-1.3648 1.3648 7.9185
1.3648 -1.3648 7.9185
1.3648 1.3648 -7.9185
ATOMIC_POSITIONS crystal
Pa 0.0000 0.0000 0.0000
Re 0.6595 0.6595 0.0000
W 0.8191 0.8191 0.0000

=====

[8]
! PaReW, optimized geometry, DFT PBE; values from VASP
! Calculated total energy   -70.004 eV per cell
! DFT formation energy   -35 meV/atom
! Space-group type   Imma (74)
&SYSTEM
  ibrav = 0, nat = 6, ntyp = 3
/
ATOMIC_SPECIES
Pa 231.04 Pa.upf
Re 186.21 Re.upf
W 183.84 W.upf
CELL_PARAMETERS angstrom
-2.8830 2.9343 3.4457
2.8830 -2.9343 3.4457
2.8830 2.9343 -3.4457
ATOMIC_POSITIONS crystal
Pa 0.3804 0.1304 0.2500
Pa 0.6196 0.8696 0.7500
Re 0.0000 0.5000 0.5000
Re 0.5000 0.5000 0.0000
W 0.0000 0.0000 0.5000
W 0.0000 0.5000 0.0000

=====

[9]
! PaReW, optimized geometry, DFT PBE; values from VASP
! Calculated total energy   -33.852 eV per cell
! DFT formation energy   348 meV/atom
! Space-group type   P3m1 (156)
&SYSTEM
  ibrav = 0, nat = 3, ntyp = 3
/
ATOMIC_SPECIES
Pa 231.04 Pa.upf
Re 186.21 Re.upf
W 183.84 W.upf
CELL_PARAMETERS angstrom
4.6693 0.0000 0.0000
-2.3347 4.0437 0.0000
0.0000 0.0000 2.9262
ATOMIC_POSITIONS crystal
Pa 0.0000 0.0000 0.0000
Re 0.3333 0.6667 0.6762
W 0.6667 0.3333 0.3406

=====

[10]
! PaReW, optimized geometry, DFT PBE; values from VASP
! Calculated total energy   -65.514 eV per cell
! DFT formation energy   713 meV/atom
! Space-group type   P4/nmm (129)
&SYSTEM
  ibrav = 0, nat = 6, ntyp = 3
/
ATOMIC_SPECIES
Pa 231.04 Pa.upf
Re 186.21 Re.upf
W 183.84 W.upf
CELL_PARAMETERS angstrom
3.8211 0.0000 0.0000
0.0000 3.8211 0.0000
0.0000 0.0000 7.9230
ATOMIC_POSITIONS crystal
Pa 0.2500 0.7500 0.0000
Pa 0.7500 0.2500 0.0000
Re 0.2500 0.2500 0.3102
Re 0.7500 0.7500 0.6898
W 0.2500 0.2500 0.6325
W 0.7500 0.7500 0.3675

=====

[11]
! YPaRe, optimized geometry, DFT PBE; values from VASP
! Calculated total energy   -28.335 eV per cell
! DFT formation energy   24 meV/atom
! Space-group type   I4mm (107)
&SYSTEM
  ibrav = 0, nat = 3, ntyp = 3
/
ATOMIC_SPECIES
Y 88.91 Y.upf
Pa 231.04 Pa.upf
Re 186.21 Re.upf
CELL_PARAMETERS angstrom
-1.7431 1.7431 5.7006
1.7431 -1.7431 5.7006
1.7431 1.7431 -5.7006
ATOMIC_POSITIONS crystal
Y 0.0000 0.0000 0.0000
Pa 0.7031 0.7031 0.0000
Re 0.3229 0.3229 0.0000

=====

[12]
! YPa2Re, optimized geometry, DFT PBE; values from VASP
! Calculated total energy   -37.310 eV per cell
! DFT formation energy   148 meV/atom
! Space-group type   P4/mmm (123)
&SYSTEM
  ibrav = 0, nat = 4, ntyp = 3
/
ATOMIC_SPECIES
Y 88.91 Y.upf
Pa 231.04 Pa.upf
Re 186.21 Re.upf
CELL_PARAMETERS angstrom
3.3134 0.0000 0.0000
0.0000 3.3134 0.0000
0.0000 0.0000 9.0597
ATOMIC_POSITIONS crystal
Y 0.0000 0.0000 0.0000
Pa 0.5000 0.5000 0.3009
Pa 0.5000 0.5000 0.6991
Re 0.0000 0.0000 0.5000

=====

[13]
! YPa2Re, optimized geometry, DFT PBE; values from VASP
! Calculated total energy   -36.717 eV per cell
! DFT formation energy   297 meV/atom
! Space-group type   R-3m (166)
&SYSTEM
  ibrav = 0, nat = 4, ntyp = 3
/
ATOMIC_SPECIES
Y 88.91 Y.upf
Pa 231.04 Pa.upf
Re 186.21 Re.upf
CELL_PARAMETERS angstrom
1.8942 1.0936 8.8134
-1.8942 1.0936 8.8134
0.0000 -2.1872 8.8134
ATOMIC_POSITIONS crystal
Y 0.0000 0.0000 0.0000
Pa 0.2295 0.2295 0.2295
Pa 0.7705 0.7705 0.7705
Re 0.5000 0.5000 0.5000

=====

[14]
! PaZnRe2, optimized geometry, DFT PBE; values from VASP
! Calculated total energy   -35.201 eV per cell
! DFT formation energy   116 meV/atom
! Space-group type   P4/mmm (123)
&SYSTEM
  ibrav = 0, nat = 4, ntyp = 3
/
ATOMIC_SPECIES
Pa 231.04 Pa.upf
Zn 65.41 Zn.upf
Re 186.21 Re.upf
CELL_PARAMETERS angstrom
4.2418 0.0000 0.0000
0.0000 4.2418 0.0000
0.0000 0.0000 3.8502
ATOMIC_POSITIONS crystal
Pa 0.0000 0.0000 0.0000
Zn 0.5000 0.5000 0.0000
Re 0.0000 0.5000 0.5000
Re 0.5000 0.0000 0.5000

=====

[15]
! Pa2ZnRe, optimized geometry, DFT PBE; values from VASP
! Calculated total energy   -32.818 eV per cell
! DFT formation energy   -26 meV/atom
! Space-group type   P4/mmm (123)
&SYSTEM
  ibrav = 0, nat = 4, ntyp = 3
/
ATOMIC_SPECIES
Pa 231.04 Pa.upf
Zn 65.41 Zn.upf
Re 186.21 Re.upf
CELL_PARAMETERS angstrom
3.1529 0.0000 0.0000
0.0000 3.1529 0.0000
0.0000 0.0000 8.5221
ATOMIC_POSITIONS crystal
Pa 0.0000 0.0000 0.2257
Pa 0.0000 0.0000 0.7743
Zn 0.5000 0.5000 0.5000
Re 0.5000 0.5000 0.0000

=====

[16]
! PaZnRe, optimized geometry, DFT PBE; values from VASP
! Calculated total energy   -22.710 eV per cell
! DFT formation energy   169 meV/atom
! Space-group type   P-6m2 (187)
&SYSTEM
  ibrav = 0, nat = 3, ntyp = 3
/
ATOMIC_SPECIES
Pa 231.04 Pa.upf
Zn 65.41 Zn.upf
Re 186.21 Re.upf
CELL_PARAMETERS angstrom
4.4324 0.0000 0.0000
-2.2162 3.8386 0.0000
0.0000 0.0000 3.4237
ATOMIC_POSITIONS crystal
Pa 0.0000 0.0000 0.0000
Zn 0.3333 0.6667 0.5000
Re 0.6667 0.3333 0.5000

=====

[17]
! PaZnRe, optimized geometry, DFT PBE; values from VASP
! Calculated total energy   -45.685 eV per cell
! DFT formation energy   125 meV/atom
! Space-group type   P-1 (2)
&SYSTEM
  ibrav = 0, nat = 6, ntyp = 3
/
ATOMIC_SPECIES
Pa 231.04 Pa.upf
Zn 65.41 Zn.upf
Re 186.21 Re.upf
CELL_PARAMETERS angstrom
4.3830 0.0000 0.0000
2.1862 4.5733 0.0000
0.0003 0.9868 6.1431
ATOMIC_POSITIONS crystal
Pa 0.1143 0.2726 0.3617
Pa 0.8857 0.7274 0.6383
Zn 0.2240 0.0518 0.8951
Zn 0.7760 0.9482 0.1049
Re 0.3905 0.7183 0.3022
Re 0.6095 0.2817 0.6978

=====

[18]
! PaZnRe, optimized geometry, DFT PBE; values from VASP
! Calculated total energy   -22.809 eV per cell
! DFT formation energy   136 meV/atom
! Space-group type   I4mm (107)
&SYSTEM
  ibrav = 0, nat = 3, ntyp = 3
/
ATOMIC_SPECIES
Pa 231.04 Pa.upf
Zn 65.41 Zn.upf
Re 186.21 Re.upf
CELL_PARAMETERS angstrom
-1.6267 1.6267 5.5015
1.6267 -1.6267 5.5015
1.6267 1.6267 -5.5015
ATOMIC_POSITIONS crystal
Pa 0.0000 0.0000 0.0000
Zn 0.7157 0.7157 0.0000
Re 0.3460 0.3460 0.0000

=====

[19]
! PaZnRe, optimized geometry, DFT PBE; values from VASP
! Calculated total energy   -85.722 eV per cell
! DFT formation energy   596 meV/atom
! Space-group type   Fddd (70)
&SYSTEM
  ibrav = 0, nat = 12, ntyp = 3
/
ATOMIC_SPECIES
Pa 231.04 Pa.upf
Zn 65.41 Zn.upf
Re 186.21 Re.upf
CELL_PARAMETERS angstrom
0.0000 6.4469 6.5838
3.0963 0.0000 6.5838
3.0963 6.4469 0.0000
ATOMIC_POSITIONS crystal
Pa 0.1008 0.6492 0.6492
Pa 0.3508 0.8992 0.8992
Pa 0.6492 0.1008 0.1008
Pa 0.8992 0.3508 0.3508
Zn 0.0942 0.6558 0.0942
Zn 0.3442 0.9058 0.3442
Zn 0.6558 0.0942 0.6558
Zn 0.9058 0.3442 0.9058
Re 0.0000 0.5000 0.5000
Re 0.5000 0.0000 0.5000
Re 0.5000 0.5000 0.0000
Re 0.5000 0.5000 0.5000

=====

[20]
! PaZnRe, optimized geometry, DFT PBE; values from VASP
! Calculated total energy   -47.283 eV per cell
! DFT formation energy   -141 meV/atom
! Space-group type   Imma (74)
&SYSTEM
  ibrav = 0, nat = 6, ntyp = 3
/
ATOMIC_SPECIES
Pa 231.04 Pa.upf
Zn 65.41 Zn.upf
Re 186.21 Re.upf
CELL_PARAMETERS angstrom
-2.4006 2.8493 3.9557
2.4006 -2.8493 3.9557
2.4006 2.8493 -3.9557
ATOMIC_POSITIONS crystal
Pa 0.3872 0.1372 0.2500
Pa 0.6128 0.8628 0.7500
Zn 0.0000 0.0000 0.5000
Zn 0.0000 0.5000 0.0000
Re 0.0000 0.5000 0.5000
Re 0.5000 0.5000 0.0000